(1)
# LiNpAs2

Crystalline LiNpAs2 at its relaxed geometry (GGA-PBE, Alexandria via LeMat-Bulk).

Unit cell a=4.556 b=4.556 c=3.713 alpha=90.00 beta=90.00 gamma=90.00
Space group P4/mmm (No. 123)
Unique sites:
Li: 0.000 0.000 0.000 [1 per cell]
Np: 0.500 0.500 0.000 [1 per cell]
As: 0.000 0.500 0.500 [2 per cell]

Values from the calculation:
energy of formation: -2.1 eV per formula unit
relative energy among the computed polymorphs: 111 meV per atom
raw total energy: -6.557 eV per atom


(2)
# LiNpAsO

Crystalline LiNpAsO at its relaxed geometry (GGA-PBE, Alexandria via LeMat-Bulk).

Unit cell a=3.853 b=3.853 c=8.865 alpha=90.00 beta=90.00 gamma=90.00
Space group P4/nmm (No. 129, origin choice 2)
Unique sites:
Li: 0.250 0.750 0.000 [2 per cell]
Np: 0.250 0.250 0.358 [2 per cell]
As: 0.250 0.250 0.807 [2 per cell]
O: 0.250 0.750 0.500 [2 per cell]

Values from the calculation:
raw total energy: -7.733 eV per atom


(3)
# LiNpAs2O8

Crystalline LiNpAs2O8 at its relaxed geometry (GGA-PBE, Alexandria via LeMat-Bulk).

Unit cell a=7.000 b=7.000 c=6.294 alpha=90.00 beta=90.00 gamma=90.00
Space group I-4m2 (No. 119)
Unique sites:
Li: 0.000 0.000 0.000 [2 per cell]
Np: 0.000 0.500 0.750 [2 per cell]
As: 0.000 0.000 0.500 [2 per cell]
As: 0.000 0.500 0.250 [2 per cell]
O: 0.000 0.192 0.669 [8 per cell]
O: 0.000 0.316 0.067 [8 per cell]

Values from the calculation:
raw total energy: -7.055 eV per atom


Question: Number 1 is which compound?
Answer: LiNpAs2